[1]
First-principles (GGA-PBE) data for a geometry-optimized Ba2YNi9 structure, as listed in Alexandria via LeMat-Bulk.

Lattice parameters (Å, degrees): 5.085 5.085 9.180 73.92 73.92 60.00
Sites, in units of the cell vectors:
Y1 0.000 0.000 0.000
Ba1 0.862 0.862 0.415
Ba2 0.138 0.138 0.585
Ni1 0.668 0.668 0.997
Ni2 0.572 0.572 0.779
Ni3 0.572 0.077 0.779
Ni4 0.332 0.332 0.003
Ni5 0.428 0.923 0.221
Ni6 0.923 0.428 0.221
Ni7 0.077 0.572 0.779
Ni8 0.428 0.428 0.221
Ni9 0.500 0.500 0.500

Calculated values
E_form   -0.434 eV/f.u.
Density of states at the Fermi level   10.736 states/eV per cell
Energy   -5.231 eV per atom

[2]
First-principles (GGA-PBE) data for a geometry-optimized BaYNi2 structure, as listed in Alexandria via LeMat-Bulk.

Lattice parameters (Å, degrees): 4.892 4.892 4.892 60.00 60.00 60.00
Sites, in units of the cell vectors:
Ba1 0.500 0.500 0.500
Y1 0.750 0.750 0.750
Ni1 0.000 0.000 0.000
Ni2 0.250 0.250 0.250

Calculated values
E_form   1.642 eV/f.u.
Density of states at the Fermi level   4.122 states/eV per cell
Energy   -4.577 eV per atom
Energy relative to the lowest polymorph listed for this composition   512 meV per atom